VASP calculation (PBE) on a relaxed Th2As3PtRh4 crystal.

The formation energy is -887 meV/atom. Its density of states at the Fermi level is 0.47 states/eV per atom. For the density, the calculation gives 11.542 g/cm3.

The structure belongs to space group P-4m2 (No. 115); the cell edges are 4.0498, 4.0498 and 11.3649 Å and the angles 90.00°, 90.00° and 90.00°. The distinct sites, in fractional coordinates, are Th at (0.0000, 0.5000, 0.2372), As at (0.0000, 0.0000, 0.0000), As at (0.0000, 0.5000, 0.6251), Pt at (0.5000, 0.5000, 0.0000), Rh at (0.0000, 0.0000, 0.5000), Rh at (0.0000, 0.5000, 0.8340) and Rh at (0.5000, 0.5000, 0.5000).

VASP calculation (PBE) on a relaxed KSiP2Cl crystal.

Its density of states at the Fermi level is 0.48 states/eV per atom. For the density, the calculation gives 2.138 g/cm3. The calculation puts the formation energy (no corrections) at -100 meV/atom. As for the energy above the most stable polymorph in this dataset: 0 meV per atom.

The structure belongs to space group P4/mmm (No. 123); the cell edges are 4.4511, 4.4511 and 6.4509 Å and the angles 90.00°, 90.00° and 90.00°. The distinct sites, in fractional coordinates, are K at (0.0000, 0.0000, 0.0000), Si at (0.5000, 0.5000, 0.5000), P at (0.0000, 0.5000, 0.5000) and Cl at (0.5000, 0.5000, 0.0000).